No. 1
The following is a DFT calculation (PBE) of a relaxed structure of TbSmMgIn.

extended XYZ file:
```
16
Lattice="7.6006 0.0000 0.0000 0.0000 7.6006 0.0000 0.0000 0.0000 7.6006" Properties=species:S:1:pos:R:3 pbc="T T T"
Tb 0.0000 0.0000 0.0000
Tb 0.0000 3.8003 3.8003
Tb 3.8003 0.0000 3.8003
Tb 3.8003 3.8003 0.0000
Sm 0.0000 0.0000 3.8003
Sm 0.0000 3.8003 0.0000
Sm 3.8003 0.0000 0.0000
Sm 3.8003 3.8003 3.8003
Mg 1.9002 1.9002 1.9002
Mg 1.9002 5.7005 5.7005
Mg 5.7005 1.9002 5.7005
Mg 5.7005 5.7005 1.9002
In 1.9002 1.9002 5.7005
In 1.9002 5.7005 1.9002
In 5.7005 1.9002 1.9002
In 5.7005 5.7005 5.7005
```

Calculated total energy, eV/atom: -3.7526
Fermi-level density of states, states/eV/cell: 10.9
Spin magnetization, μB per cell: 0.00

No. 2
The following is a DFT calculation (PBE) of a relaxed structure of KPr2PdO5.

extended XYZ file:
```
18
Lattice="-3.4406 3.4406 6.0888 3.4406 -3.4406 6.0888 3.4406 3.4406 -6.0888" Properties=species:S:1:pos:R:3 pbc="T T T"
K 0.0000 0.0000 3.0444
K 0.0000 0.0000 9.1333
Pr 4.6486 1.2080 0.0000
Pr 1.2080 2.2327 0.0000
Pr 2.2327 1.2080 6.0888
Pr -1.2080 2.2327 6.0888
Pd 3.4406 0.0000 3.0444
Pd 0.0000 3.4406 3.0444
O 0.0000 0.0000 0.0000
O 2.5423 0.8983 -1.4582
O 2.5423 0.8983 1.4582
O 2.5423 -0.8983 4.6306
O 2.5423 -0.8983 7.5471
O 0.0000 0.0000 6.0888
O 0.8983 4.3390 -1.4582
O 0.8983 4.3390 1.4582
O 0.8983 2.5423 4.6306
O 0.8983 2.5423 7.5471
```

Calculated total energy, eV/atom: -6.5675
Fermi-level density of states, states/eV/cell: 10.3
Formation energy without anion corrections, kcal/mol of atoms: -47.32
Spin magnetization, μB per cell: 2.07

No. 3
The following is a DFT calculation (PBE) of a relaxed structure of Tl6S2I2Br.

extended XYZ file:
```
11
Lattice="3.7646 -7.0563 0.0000 3.7646 7.0563 0.0000 -2.4783 0.0000 8.1904" Properties=species:S:1:pos:R:3 pbc="T T T"
Tl -0.0336 2.6335 6.4905
Tl 1.0486 0.0000 1.6988
Tl -0.0336 -2.6335 6.4905
Tl 5.0845 2.6335 1.6999
Tl 4.0024 0.0000 6.4916
Tl 5.0845 -2.6335 1.6999
S 3.7646 4.6277 0.0000
S 3.7646 -4.6277 0.0000
I 2.5255 2.2086 4.0952
I 2.5255 -2.2086 4.0952
Br 3.7646 0.0000 0.0000
```

Calculated total energy, eV/atom: -2.9366
Fermi-level density of states, states/eV/cell: 6.0
Formation energy without anion corrections, kcal/mol of atoms: -10.64
Spin magnetization, μB per cell: 0.00

No. 4
The following is a DFT calculation (PBE) of a relaxed structure of ZrCr2Se.

extended XYZ file:
```
12
Lattice="3.9244 0.0000 0.0000 -1.9622 3.3987 0.0000 0.0000 0.0000 14.5142" Properties=species:S:1:pos:R:3 pbc="T T T"
Zr 0.0000 0.0000 0.0000
Zr 0.0000 2.2658 9.6761
Zr 1.9622 1.1329 4.8381
Cr 0.0000 0.0000 2.9942
Cr 0.0000 0.0000 7.4900
Cr 0.0000 2.2658 2.6520
Cr 0.0000 2.2658 12.6704
Cr 1.9622 1.1329 7.8323
Cr 1.9622 1.1329 12.3281
Se 0.0000 0.0000 11.3785
Se 0.0000 2.2658 6.5404
Se 1.9622 1.1329 1.7023
```

Calculated total energy, eV/atom: -7.9254
Fermi-level density of states, states/eV/cell: 7.5
Formation energy without anion corrections, kcal/mol of atoms: -2.43
Spin magnetization, μB per cell: 0.00

No. 5
The following is a DFT calculation (PBE) of a relaxed structure of TaReRh.

extended XYZ file:
```
6
Lattice="2.7589 0.0000 0.0000 0.0000 3.9611 0.0000 0.0000 0.0000 8.6622" Properties=species:S:1:pos:R:3 pbc="T T T"
Ta 0.0000 0.0000 0.0000
Ta 1.3795 1.9805 4.3311
Re 0.0000 0.0000 5.8019
Re 1.3795 1.9805 1.4708
Rh 0.0000 0.0000 2.8450
Rh 1.3795 1.9805 7.1761
```

Calculated total energy, eV/atom: -10.6471
Fermi-level density of states, states/eV/cell: 6.6
Spin magnetization, μB per cell: 0.00

No. 6
The following is a DFT calculation (PBE) of a relaxed structure of KFeCo.

extended XYZ file:
```
6
Lattice="2.7543 0.0000 0.0000 0.0000 3.8123 0.0000 0.0000 0.0000 11.9502" Properties=species:S:1:pos:R:3 pbc="T T T"
K 0.0000 0.0000 0.0000
K 1.3771 1.9061 5.9751
Fe 0.0000 0.0000 8.7908
Fe 1.3771 1.9061 2.8157
Co 0.0000 0.0000 3.1854
Co 1.3771 1.9061 9.1605
```

Calculated total energy, eV/atom: -4.8518
Fermi-level density of states, states/eV/cell: 5.6
Spin magnetization, μB per cell: 8.39

No. 7
The following is a DFT calculation (PBE) of a relaxed structure of SiHgBrF6.

extended XYZ file:
```
9
Lattice="5.4545 0.0000 0.0000 1.9051 5.1508 0.0000 2.0482 -0.2705 5.5951" Properties=species:S:1:pos:R:3 pbc="T T T"
Si 0.0000 0.0000 0.0000
Hg 4.6750 3.6462 1.1944
Br 4.5783 2.1186 3.1794
F 2.3191 3.5109 0.3643
F 1.5085 0.4762 0.6661
F 4.5855 4.7117 4.0343
F 4.7236 0.0788 1.6045
F 7.8518 4.3097 5.0336
F 7.0718 1.3306 5.3011
```

Calculated total energy, eV/atom: -4.1847
Formation energy without anion corrections, kcal/mol of atoms: -48.78
Spin magnetization, μB per cell: 1.05

No. 8
The following is a DFT calculation (PBE) of a relaxed structure of ScTiH2.

extended XYZ file:
```
16
Lattice="4.6945 0.0000 0.0000 0.0000 4.6945 0.0000 0.0000 0.0000 8.3249" Properties=species:S:1:pos:R:3 pbc="T T T"
Sc 0.0000 0.0000 0.0000
Sc 0.0000 2.3473 2.0812
Sc 2.3473 0.0000 6.2436
Sc 2.3473 2.3473 4.1624
Ti 0.0000 0.0000 4.1624
Ti 0.0000 2.3473 6.2436
Ti 2.3473 0.0000 2.0812
Ti 2.3473 2.3473 0.0000
H 1.0493 1.1736 5.2030
H 1.1736 3.3966 7.2843
H 1.1736 3.6452 3.1218
H 1.2980 1.1736 1.0406
H 3.3966 3.5209 1.0406
H 3.5209 1.0493 3.1218
H 3.5209 1.2980 7.2843
H 3.6452 3.5209 5.2030
```

Calculated total energy, eV/atom: -5.5727
Fermi-level density of states, states/eV/cell: 14.4
Spin magnetization, μB per cell: 0.00

No. 9
The following is a DFT calculation (PBE) of a relaxed structure of HfNbZnMo.

extended XYZ file:
```
4
Lattice="3.3402 0.0000 0.0000 0.0000 3.3402 0.0000 0.0000 0.0000 6.2751" Properties=species:S:1:pos:R:3 pbc="T T T"
Hf 0.0000 0.0000 0.0000
Nb 0.0000 0.0000 3.0748
Zn 1.6701 1.6701 4.6248
Mo 1.6701 1.6701 1.6267
```

Calculated total energy, eV/atom: -8.1812
Fermi-level density of states, states/eV/cell: 3.9
Spin magnetization, μB per cell: 0.00

No. 10
The following is a DFT calculation (PBE) of a relaxed structure of YBeW.

extended XYZ file:
```
3
Lattice="3.2000 0.0000 0.0000 -1.6000 2.7713 0.0000 0.0000 0.0000 6.1099" Properties=species:S:1:pos:R:3 pbc="T T T"
Y 0.0000 0.0000 0.0000
Be 1.6000 0.9238 2.1331
W 0.0000 1.8475 3.6485
```

Calculated total energy, eV/atom: -7.0022
Fermi-level density of states, states/eV/cell: 2.4
Spin magnetization, μB per cell: 0.00

No. 11
The following is a DFT calculation (PBE) of a relaxed structure of NdFeSi3Rh.

extended XYZ file:
```
12
Lattice="3.5340 -5.5717 0.0000 3.5340 5.5717 0.0000 0.0000 0.0000 5.5503" Properties=species:S:1:pos:R:3 pbc="T T T"
Nd 3.5340 2.8762 4.1627
Nd 3.5340 -2.8762 1.3876
Fe 3.5340 5.0608 1.3876
Fe 3.5340 -5.0608 4.1627
Si 3.5340 2.9706 1.3876
Si 1.7222 0.0000 0.0000
Si 1.7222 0.0000 2.7751
Si 5.3458 0.0000 0.0000
Si 5.3458 0.0000 2.7751
Si 3.5340 -2.9706 4.1627
Rh 3.5340 0.7639 1.3876
Rh 3.5340 -0.7639 4.1627
```

Calculated total energy, eV/atom: -6.6163
Fermi-level density of states, states/eV/cell: 6.0
Formation energy without anion corrections, kcal/mol of atoms: -10.94
Spin magnetization, μB per cell: 0.33

No. 12
The following is a DFT calculation (PBE) of a relaxed structure of Fe3SnHg.

extended XYZ file:
```
5
Lattice="4.8672 0.0000 0.0000 0.0000 4.8672 0.0000 0.0000 0.0000 4.8672" Properties=species:S:1:pos:R:3 pbc="T T T"
Fe 0.0000 0.0000 2.4336
Fe 0.0000 2.4336 0.0000
Fe 2.4336 0.0000 0.0000
Sn 0.0000 0.0000 0.0000
Hg 2.4336 2.4336 2.4336
```

Calculated total energy, eV/atom: -4.6307
Fermi-level density of states, states/eV/cell: 9.9
Spin magnetization, μB per cell: 8.90